(1)
The following is a PBE calculation of a relaxed structure of LiAl2Ru, from Alexandria.

Electronic total energy = -18.721 eV/f.u.
SG = No. 35
N(E_F) = 2.93 states/eV per cell
Formation energy from the elements = -0.0115 eV per atom

Geometry as CIF:
```
data_LiAl2Ru
_chemical_formula_sum 'Li1 Al2 Ru1'
_symmetry_space_group_name_H-M 'P 1'
_symmetry_Int_Tables_number 1
_cell_length_a 2.762
_cell_length_b 2.762
_cell_length_c 8.749
_cell_angle_alpha 90.00
_cell_angle_beta 90.00
_cell_angle_gamma 114.08
loop_
_symmetry_equiv_pos_as_xyz
'x,y,z'
loop_
_atom_site_label
_atom_site_fract_x
_atom_site_fract_y
_atom_site_fract_z
Al1 0.000 0.000 0.980
Al2 0.500 0.500 0.246
Li1 0.000 0.000 0.515
Ru1 0.500 0.500 0.759
```



(2)
The following is a PBE calculation of a relaxed structure of Pr3Nd2Sm6Pb, from Alexandria.

Electronic total energy = -56.661 eV/f.u.
SG = No. 12
N(E_F) = 14.64 states/eV per cell
Formation energy from the elements = -0.0637 eV per atom

Geometry as CIF:
```
data_Pr3Nd2Sm6Pb
_chemical_formula_sum 'Pr3 Nd2 Sm6 Pb1'
_symmetry_space_group_name_H-M 'P 1'
_symmetry_Int_Tables_number 1
_cell_length_a 6.274
_cell_length_b 6.274
_cell_length_c 12.021
_cell_angle_alpha 95.06
_cell_angle_beta 95.06
_cell_angle_gamma 120.10
loop_
_symmetry_equiv_pos_as_xyz
'x,y,z'
loop_
_atom_site_label
_atom_site_fract_x
_atom_site_fract_y
_atom_site_fract_z
Pr1 0.169 0.831 0.500
Pr2 0.831 0.169 0.500
Pr3 0.500 0.500 0.500
Nd1 0.334 0.666 0.000
Nd2 0.666 0.334 0.000
Sm1 0.918 0.594 0.754
Sm2 0.758 0.758 0.248
Sm3 0.082 0.406 0.246
Sm4 0.594 0.918 0.754
Sm5 0.242 0.242 0.752
Sm6 0.406 0.082 0.246
Pb1 0.000 0.000 0.000
```



(3)
The following is a PBE calculation of a relaxed structure of Pm2HoEr, from Alexandria.

Electronic total energy = -18.561 eV/f.u.
SG = No. 123
N(E_F) = 5.62 states/eV per cell
Energy above the most stable polymorph in this dataset = 6 meV per atom
Formation energy from the elements = 0.0201 eV per atom

Geometry as CIF:
```
data_Pm2HoEr
_chemical_formula_sum 'Pm2 Ho1 Er1'
_symmetry_space_group_name_H-M 'P 1'
_symmetry_Int_Tables_number 1
_cell_length_a 3.588
_cell_length_b 3.588
_cell_length_c 10.099
_cell_angle_alpha 90.00
_cell_angle_beta 90.00
_cell_angle_gamma 90.00
loop_
_symmetry_equiv_pos_as_xyz
'x,y,z'
loop_
_atom_site_label
_atom_site_fract_x
_atom_site_fract_y
_atom_site_fract_z
Pm1 0.000 0.000 0.750
Pm2 0.000 0.000 0.250
Ho1 0.500 0.500 0.500
Er1 0.500 0.500 0.000
```



(4)
The following is a PBE calculation of a relaxed structure of LaMgIr2, from Alexandria.

Electronic total energy = -25.684 eV/f.u.
SG = No. 38
N(E_F) = 4.44 states/eV per cell
Formation energy from the elements = -0.3600 eV per atom

Geometry as CIF:
```
data_LaMgIr2
_chemical_formula_sum 'La1 Mg1 Ir2'
_symmetry_space_group_name_H-M 'P 1'
_symmetry_Int_Tables_number 1
_cell_length_a 4.401
_cell_length_b 4.229
_cell_length_c 5.360
_cell_angle_alpha 66.74
_cell_angle_beta 90.00
_cell_angle_gamma 90.00
loop_
_symmetry_equiv_pos_as_xyz
'x,y,z'
loop_
_atom_site_label
_atom_site_fract_x
_atom_site_fract_y
_atom_site_fract_z
Ir1 0.000 0.185 0.007
Ir2 0.500 0.071 0.233
La1 0.000 0.476 0.423
Mg1 0.500 0.768 0.838
```



(5)
The following is a PBE calculation of a relaxed structure of NdSi2Sn2Au7, from Alexandria.

Electronic total energy = -48.977 eV/f.u.
E_form (uncorrected) = -0.2013 eV per atom
SG = No. 12
N(E_F) = 4.67 states/eV per cell

Geometry as CIF:
```
data_NdSi2Sn2Au7
_chemical_formula_sum 'Nd1 Si2 Sn2 Au7'
_symmetry_space_group_name_H-M 'P 1'
_symmetry_Int_Tables_number 1
_cell_length_a 4.757
_cell_length_b 4.757
_cell_length_c 11.885
_cell_angle_alpha 88.41
_cell_angle_beta 88.41
_cell_angle_gamma 94.63
loop_
_symmetry_equiv_pos_as_xyz
'x,y,z'
loop_
_atom_site_label
_atom_site_fract_x
_atom_site_fract_y
_atom_site_fract_z
Nd1 0.000 0.000 0.000
Si1 0.642 0.642 0.778
Si2 0.358 0.358 0.222
Sn1 0.897 0.897 0.367
Sn2 0.103 0.103 0.633
Au1 0.500 0.500 0.000
Au2 0.332 0.332 0.428
Au3 0.668 0.668 0.572
Au4 0.893 0.484 0.179
Au5 0.484 0.893 0.179
Au6 0.516 0.107 0.821
Au7 0.107 0.516 0.821
```



(6)
The following is a PBE calculation of a relaxed structure of Dy5HoRu6, from Alexandria.

Electronic total energy = -87.157 eV/f.u.
SG = No. 12
N(E_F) = 11.64 states/eV per cell
Formation energy from the elements = -0.3261 eV per atom

Geometry as CIF:
```
data_Dy5HoRu6
_chemical_formula_sum 'Dy5 Ho1 Ru6'
_symmetry_space_group_name_H-M 'P 1'
_symmetry_Int_Tables_number 1
_cell_length_a 4.818
_cell_length_b 8.300
_cell_length_c 8.300
_cell_angle_alpha 119.94
_cell_angle_beta 106.82
_cell_angle_gamma 106.82
loop_
_symmetry_equiv_pos_as_xyz
'x,y,z'
loop_
_atom_site_label
_atom_site_fract_x
_atom_site_fract_y
_atom_site_fract_z
Ru1 0.250 0.083 0.416
Ru2 0.750 0.584 0.917
Ru3 0.749 0.250 0.250
Ru4 0.251 0.750 0.750
Ru5 0.250 0.416 0.083
Ru6 0.750 0.917 0.584
Ho1 0.000 0.000 0.000
Dy1 0.500 0.166 0.834
Dy2 0.000 0.333 0.667
Dy3 0.500 0.500 0.500
Dy4 0.000 0.667 0.333
Dy5 0.500 0.834 0.166
```



(7)
The following is a PBE calculation of a relaxed structure of K3AgI, from Alexandria.

Electronic total energy = -9.425 eV/f.u.
E_form (uncorrected) = -0.3463 eV per atom
SG = No. 221
N(E_F) = 7.61 states/eV per cell
Energy above the most stable polymorph in this dataset = 0 meV per atom

Geometry as CIF:
```
data_K3AgI
_chemical_formula_sum 'K3 Ag1 I1'
_symmetry_space_group_name_H-M 'P 1'
_symmetry_Int_Tables_number 1
_cell_length_a 6.447
_cell_length_b 6.447
_cell_length_c 6.447
_cell_angle_alpha 90.00
_cell_angle_beta 90.00
_cell_angle_gamma 90.00
loop_
_symmetry_equiv_pos_as_xyz
'x,y,z'
loop_
_atom_site_label
_atom_site_fract_x
_atom_site_fract_y
_atom_site_fract_z
I1 0.500 0.500 0.500
K1 0.000 0.500 0.000
K2 0.000 0.000 0.500
K3 0.500 0.000 0.000
Ag1 0.000 0.000 0.000
```



(8)
The following is a PBE calculation of a relaxed structure of NiIr2Ru, from Alexandria.

Electronic total energy = -31.487 eV/f.u.
SG = No. 47
N(E_F) = 6.27 states/eV per cell
Energy above the most stable polymorph in this dataset = 334 meV per atom
Formation energy from the elements = 0.3230 eV per atom

Geometry as CIF:
```
data_NiIr2Ru
_chemical_formula_sum 'Ni1 Ir2 Ru1'
_symmetry_space_group_name_H-M 'P 1'
_symmetry_Int_Tables_number 1
_cell_length_a 2.704
_cell_length_b 4.585
_cell_length_c 4.531
_cell_angle_alpha 90.00
_cell_angle_beta 90.00
_cell_angle_gamma 90.00
loop_
_symmetry_equiv_pos_as_xyz
'x,y,z'
loop_
_atom_site_label
_atom_site_fract_x
_atom_site_fract_y
_atom_site_fract_z
Ir1 0.000 0.000 0.000
Ir2 0.500 0.500 0.000
Ni1 0.500 0.000 0.500
Ru1 0.000 0.500 0.500
```



(9)
The following is a PBE calculation of a relaxed structure of Ti4MoIr3, from Alexandria.

Electronic total energy = -75.275 eV/f.u.
SG = No. 139
N(E_F) = 3.46 states/eV per cell
Formation energy from the elements = -0.7852 eV per atom

Geometry as CIF:
```
data_Ti4MoIr3
_chemical_formula_sum 'Ti4 Mo1 Ir3'
_symmetry_space_group_name_H-M 'P 1'
_symmetry_Int_Tables_number 1
_cell_length_a 4.426
_cell_length_b 4.426
_cell_length_c 6.932
_cell_angle_alpha 108.64
_cell_angle_beta 108.64
_cell_angle_gamma 89.98
loop_
_symmetry_equiv_pos_as_xyz
'x,y,z'
loop_
_atom_site_label
_atom_site_fract_x
_atom_site_fract_y
_atom_site_fract_z
Mo1 0.500 0.000 0.000
Ir1 0.000 0.500 0.000
Ir2 0.751 0.251 0.502
Ir3 0.249 0.749 0.498
Ti1 0.376 0.376 0.752
Ti2 0.624 0.624 0.248
Ti3 0.124 0.124 0.248
Ti4 0.876 0.876 0.752
```



(10)
The following is a PBE calculation of a relaxed structure of Mg2FePt, from Alexandria.

Electronic total energy = -18.680 eV/f.u.
SG = No. 216
N(E_F) = 4.07 states/eV per cell
Formation energy from the elements = -0.2468 eV per atom

Geometry as CIF:
```
data_Mg2FePt
_chemical_formula_sum 'Mg2 Fe1 Pt1'
_symmetry_space_group_name_H-M 'P 1'
_symmetry_Int_Tables_number 1
_cell_length_a 4.468
_cell_length_b 4.468
_cell_length_c 4.468
_cell_angle_alpha 60.00
_cell_angle_beta 60.00
_cell_angle_gamma 60.00
loop_
_symmetry_equiv_pos_as_xyz
'x,y,z'
loop_
_atom_site_label
_atom_site_fract_x
_atom_site_fract_y
_atom_site_fract_z
Fe1 0.500 0.500 0.500
Mg1 0.000 0.000 0.000
Mg2 0.750 0.750 0.750
Pt1 0.250 0.250 0.250
```